# 1
# Sc3ReSe PBE-GGA relaxed
data_Sc3ReSe
_symmetry_space_group_name_H-M 'P 1'
_symmetry_Int_Tables_number 1
_symmetry_space_group_name_Hall 'P 1'
_cell_length_a 5.046
_cell_length_b 5.046
_cell_length_c 5.046
_cell_angle_alpha 90.00
_cell_angle_beta 90.00
_cell_angle_gamma 90.00
loop_
_atom_site_label
_atom_site_fract_x
_atom_site_fract_y
_atom_site_fract_z
_atom_site_occupancy
Sc1 0.000 0.500 0.000 1
Sc2 0.000 0.000 0.500 1
Sc3 0.500 0.000 0.000 1
Re1 0.000 0.000 0.000 1
Se1 0.500 0.500 0.500 1
# energy = -6.88 eV/atom
# relative energy among the computed polymorphs = 0.00 eV per formula unit
# E_form (uncorrected) = 0.109 eV/atom

=====

# 2
# Nb4RhN PBE-GGA relaxed
data_Nb4RhN
_symmetry_space_group_name_H-M 'P 1'
_symmetry_Int_Tables_number 1
_symmetry_space_group_name_Hall 'P 1'
_cell_length_a 6.467
_cell_length_b 5.503
_cell_length_c 5.639
_cell_angle_alpha 90.00
_cell_angle_beta 103.49
_cell_angle_gamma 90.00
loop_
_atom_site_label
_atom_site_fract_x
_atom_site_fract_y
_atom_site_fract_z
_atom_site_occupancy
Nb1 0.887 0.609 0.149 1
Nb2 0.613 0.109 0.851 1
Nb3 0.295 0.338 0.416 1
Nb4 0.205 0.838 0.584 1
Nb5 0.113 0.391 0.851 1
Nb6 0.387 0.891 0.149 1
Nb7 0.705 0.662 0.584 1
Nb8 0.795 0.162 0.416 1
Rh1 0.000 0.000 0.000 1
Rh2 0.500 0.500 0.000 1
N1 0.500 0.000 0.500 1
N2 0.000 0.500 0.500 1
# energy = -9.61 eV/atom
# E_form (uncorrected) = -0.289 eV/atom

=====

Q: The highest E_form (uncorrected) belongs to which entry?
A: Sc3ReSe

=====

Q: The lowest energy belongs to which entry?
A: Nb4RhN